## Ce2Mg2Ru (PBE)

Data for an optimized crystal structure of Ce2Mg2Ru.

Results
size of the total moment	0.00	μB per cell

Structure (CIF):
```
data_Ce2Mg2Ru
_symmetry_space_group_name_H-M 'I 4/m m m'
_symmetry_Int_Tables_number 139
_symmetry_space_group_name_Hall '-I 4 2'
_cell_length_a 3.254
_cell_length_b 3.254
_cell_length_c 22.422
_cell_angle_alpha 90.00
_cell_angle_beta 90.00
_cell_angle_gamma 90.00
loop_
_atom_site_label
_atom_site_fract_x
_atom_site_fract_y
_atom_site_fract_z
Ce1 0.000 0.000 0.082
Mg1 0.000 0.000 0.300
Ru1 0.000 0.000 0.500
```



## Zr4ZnOs (PBE)

Data for an optimized crystal structure of Zr4ZnOs.

Results
size of the total moment	0.00	μB per cell
E above lowest polymorph	0	meV/atom

Structure (CIF):
```
data_Zr4ZnOs
_symmetry_space_group_name_H-M 'P 4/m m m'
_symmetry_Int_Tables_number 123
_symmetry_space_group_name_Hall '-P 4 2'
_cell_length_a 3.293
_cell_length_b 3.293
_cell_length_c 11.070
_cell_angle_alpha 90.00
_cell_angle_beta 90.00
_cell_angle_gamma 90.00
loop_
_atom_site_label
_atom_site_fract_x
_atom_site_fract_y
_atom_site_fract_z
Zr1 0.000 0.000 0.148
Zr2 0.500 0.500 0.338
Zn1 0.000 0.000 0.500
Os1 0.500 0.500 0.000
```



## Mn3GePd4 (PBE)

Data for an optimized crystal structure of Mn3GePd4.

Results
size of the total moment	25.83	μB per cell

Structure (CIF):
```
data_Mn3GePd4
_symmetry_space_group_name_H-M 'C 1 2/m 1'
_symmetry_Int_Tables_number 12
_symmetry_space_group_name_Hall '-C 2y'
_cell_length_a 5.809
_cell_length_b 5.817
_cell_length_c 7.686
_cell_angle_alpha 90.00
_cell_angle_beta 112.11
_cell_angle_gamma 90.00
loop_
_atom_site_label
_atom_site_fract_x
_atom_site_fract_y
_atom_site_fract_z
Mn1 0.000 0.000 0.000
Mn2 0.249 0.500 0.498
Ge1 0.000 0.500 0.000
Pd1 0.128 0.250 0.755
```



## SrTcW2 (PBE)

Data for an optimized crystal structure of SrTcW2.

Results
size of the total moment	0.00	μB per cell
E above lowest polymorph	533	meV/atom

Structure (CIF):
```
data_SrTcW2
_symmetry_space_group_name_H-M 'F m -3 m'
_symmetry_Int_Tables_number 225
_symmetry_space_group_name_Hall '-F 4 2 3'
_cell_length_a 6.603
_cell_length_b 6.603
_cell_length_c 6.603
_cell_angle_alpha 90.00
_cell_angle_beta 90.00
_cell_angle_gamma 90.00
loop_
_atom_site_label
_atom_site_fract_x
_atom_site_fract_y
_atom_site_fract_z
Sr1 0.000 0.000 0.000
Tc1 0.000 0.000 0.500
W1 0.250 0.250 0.250
```



The evaluated calculated formation energy for the records listed, in turn: -73; -153; -197; 468 kJ/mol of formula units.
The evaluated electronic total energy for the records listed, in turn: -5.017; -8.046; -6.868; -8.277 eV/atom.